[1]
22
Lattice="-3.661 -0.561 0.834 -1.120 -3.628 -7.360 4.261 -16.603 7.536" Properties=species:S:1:pos:R:3 comment="Nd5In4Pt2, relaxed, DFT PBE" total_magnetization_mub_per_fu=0.00 sg=Pbam formation_enthalpy_0k_ev_per_atom=-0.771 pbc="T T T"
In 0.294 -13.126 1.102
In -0.815 -7.666 -0.093
In 0.361 -10.510 3.156
In 1.716 -14.670 6.307
In -0.882 -10.282 -2.147
In -1.856 -2.489 -1.181
In -2.237 -6.122 -5.297
In 1.335 -18.303 2.190
Nd 2.784 -12.915 3.536
Nd 0.673 -4.553 -0.111
Nd 1.570 -10.116 0.088
Nd 1.641 -7.327 2.276
Nd 3.472 -16.597 4.079
Nd 0.000 0.000 0.000
Nd -0.332 -3.634 -3.903
Nd 2.468 -15.678 0.286
Nd 0.356 -7.316 -3.360
Nd 1.499 -12.904 -2.101
Pt -0.560 -5.401 2.550
Pt -1.579 -5.429 -1.941
Pt 0.039 -15.391 -1.541
Pt 1.058 -15.363 2.950

[2]
12
Lattice="4.126 0.000 0.000 0.000 4.126 0.000 -2.063 -2.063 15.169" Properties=species:S:1:pos:R:3 comment="Nd3In2Pt7, relaxed, DFT PBE" total_magnetization_mub_per_fu=0.00 sg=I4/mmm formation_enthalpy_0k_ev_per_atom=-0.725 pbc="T T T"
Pt 0.000 0.000 0.000
Pt 0.000 2.063 12.991
Pt 0.000 2.063 2.178
Pt 0.000 0.000 6.600
Pt 2.063 0.000 2.178
Pt 2.063 2.063 8.569
Pt 2.063 0.000 12.991
In 2.063 2.063 11.283
In 0.000 0.000 3.885
Nd 0.000 0.000 9.562
Nd 2.063 2.063 0.000
Nd 2.063 2.063 5.607

[3]
12
Lattice="5.450 0.000 0.000 2.725 4.720 0.000 2.725 1.573 8.932" Properties=species:S:1:pos:R:3 comment="Nd2InPt9, relaxed, DFT PBE" total_magnetization_mub_per_fu=0.00 sg=R-3m formation_enthalpy_0k_ev_per_atom=-0.647 pbc="T T T"
Nd 2.725 1.573 5.269
Nd 8.176 4.720 3.662
Pt 5.450 1.554 6.657
Pt 4.071 3.943 6.657
Pt 2.725 1.573 0.020
Pt 6.830 3.943 6.657
Pt 5.450 3.147 4.466
Pt 8.176 4.720 8.912
Pt 5.450 4.739 2.274
Pt 4.071 2.350 2.274
Pt 6.830 2.350 2.274
In 0.000 0.000 0.000

[4]
8
Lattice="5.285 0.000 0.000 0.000 5.285 0.000 0.000 0.000 5.285" Properties=species:S:1:pos:R:3 comment="NdInPt6, relaxed, DFT PBE" total_magnetization_mub_per_fu=0.00 sg=Pm-3 formation_enthalpy_0k_ev_per_atom=-0.270 pbc="T T T"
Pt 0.000 2.642 3.977
Pt 1.307 0.000 2.642
Pt 2.642 3.977 0.000
Pt 2.642 1.307 0.000
Pt 0.000 2.642 1.307
Pt 3.977 0.000 2.642
In 0.000 0.000 0.000
Nd 2.642 2.642 2.642